A plane-wave DFT calculation with GGA-PBE was carried out for a relaxed structure of Fe2SiGeP4.

abc: 6.248 6.248 6.248
angles: 130.08 130.08 73.28
Fractional coordinates of all 8 atoms:
Fe 0.000 0.000 0.000
Fe 0.750 0.250 0.500
Si 0.250 0.750 0.500
Ge 0.500 0.500 0.000
P 0.093 0.629 0.980
P 0.371 0.351 0.464
P 0.649 0.113 0.020
P 0.887 0.907 0.536

SG: I-4, No. 82
Total magnetization: 0.003 μB/atom
Total DFT energy (no corrections): -6.1113 eV/atom